## Ti2GaCuPd (GGA-PBEsol)

Data for a geometry-optimized Ti2GaCuPd structure.

Output
E_tot = -5.313 eV/atom
formation energy = 743 meV per atom
size of the total moment = 0.0 μB per formula unit
energy above the most stable polymorph in this dataset = 101 meV/atom

Cell and atoms, written as CIF:
```
data_Ti2GaCuPd
_cell_length_a 4.634
_cell_length_b 4.634
_cell_length_c 4.464
_cell_angle_alpha 90.00
_cell_angle_beta 90.00
_cell_angle_gamma 90.00
_symmetry_space_group_name_H-M 'P 4/m m m'
_symmetry_Int_Tables_number 123
_symmetry_space_group_name_Hall '-P 4 2'
loop_
_atom_site_label
_atom_site_type_symbol
_atom_site_fract_x
_atom_site_fract_y
_atom_site_fract_z
Ti1 Ti 0.000 0.500 0.000
Ga1 Ga 0.000 0.000 0.000
Cu1 Cu 0.500 0.500 0.500
Pd1 Pd 0.000 0.000 0.500
```


## LiMg2Zn (GGA-PBEsol)

Data for a geometry-optimized LiMg2Zn structure.

Output
E_tot = -1.834 eV/atom
formation energy = -88 meV per atom
size of the total moment = 0.0 μB per formula unit

Cell and atoms, written as CIF:
```
data_LiMg2Zn
_cell_length_a 3.312
_cell_length_b 3.312
_cell_length_c 6.601
_cell_angle_alpha 90.00
_cell_angle_beta 90.00
_cell_angle_gamma 90.00
_symmetry_space_group_name_H-M 'P 4/m m m'
_symmetry_Int_Tables_number 123
_symmetry_space_group_name_Hall '-P 4 2'
loop_
_atom_site_label
_atom_site_type_symbol
_atom_site_fract_x
_atom_site_fract_y
_atom_site_fract_z
Li1 Li 0.000 0.000 0.000
Mg1 Mg 0.500 0.500 0.259
Zn1 Zn 0.000 0.000 0.500
```


## K2HfGeTe (GGA-PBEsol)

Data for a geometry-optimized K2HfGeTe structure.

Output
E_tot = -3.468 eV/atom
size of the total moment = 0.7 μB per formula unit

Cell and atoms, written as CIF:
```
data_K2HfGeTe
_cell_length_a 6.739
_cell_length_b 6.739
_cell_length_c 4.905
_cell_angle_alpha 90.00
_cell_angle_beta 90.00
_cell_angle_gamma 90.00
_symmetry_space_group_name_H-M 'P 4/m m m'
_symmetry_Int_Tables_number 123
_symmetry_space_group_name_Hall '-P 4 2'
loop_
_atom_site_label
_atom_site_type_symbol
_atom_site_fract_x
_atom_site_fract_y
_atom_site_fract_z
K1 K 0.000 0.500 0.000
Hf1 Hf 0.000 0.000 0.000
Ge1 Ge 0.000 0.000 0.500
Te1 Te 0.500 0.500 0.500
```


## Sc2Pt3 (GGA-PBEsol)

Data for a geometry-optimized Sc2Pt3 structure.

Output
E_tot = -7.914 eV/atom
formation energy = -1094 meV per atom
size of the total moment = 0.0 μB per formula unit

Cell and atoms, written as CIF:
```
data_Sc2Pt3
_cell_length_a 9.578
_cell_length_b 13.384
_cell_length_c 5.209
_cell_angle_alpha 90.00
_cell_angle_beta 90.00
_cell_angle_gamma 90.00
_symmetry_space_group_name_H-M 'F d d 2'
_symmetry_Int_Tables_number 43
_symmetry_space_group_name_Hall 'F 2 -2d'
loop_
_atom_site_label
_atom_site_type_symbol
_atom_site_fract_x
_atom_site_fract_y
_atom_site_fract_z
Sc1 Sc 0.045 0.197 0.000
Pt1 Pt 0.000 0.000 0.073
Pt2 Pt 0.047 0.107 0.521
```


## CrSiP2Cl (GGA-PBEsol)

Data for a geometry-optimized CrSiP2Cl structure.

Output
E_tot = -5.399 eV/atom
size of the total moment = 1.6 μB per formula unit

Cell and atoms, written as CIF:
```
data_CrSiP2Cl
_cell_length_a 4.399
_cell_length_b 4.399
_cell_length_c 4.708
_cell_angle_alpha 90.00
_cell_angle_beta 90.00
_cell_angle_gamma 90.00
_symmetry_space_group_name_H-M 'P 4/m m m'
_symmetry_Int_Tables_number 123
_symmetry_space_group_name_Hall '-P 4 2'
loop_
_atom_site_label
_atom_site_type_symbol
_atom_site_fract_x
_atom_site_fract_y
_atom_site_fract_z
Cr1 Cr 0.000 0.000 0.000
Si1 Si 0.500 0.500 0.500
P1 P 0.000 0.500 0.000
Cl1 Cl 0.000 0.000 0.500
```


## MgMnCr2 (GGA-PBEsol)

Data for a geometry-optimized MgMnCr2 structure.

Output
E_tot = -7.460 eV/atom
formation energy = 531 meV per atom
size of the total moment = 2.8 μB per formula unit

Cell and atoms, written as CIF:
```
data_MgMnCr2
_cell_length_a 4.232
_cell_length_b 4.232
_cell_length_c 3.012
_cell_angle_alpha 90.00
_cell_angle_beta 90.00
_cell_angle_gamma 90.00
_symmetry_space_group_name_H-M 'P 4/m m m'
_symmetry_Int_Tables_number 123
_symmetry_space_group_name_Hall '-P 4 2'
loop_
_atom_site_label
_atom_site_type_symbol
_atom_site_fract_x
_atom_site_fract_y
_atom_site_fract_z
Mg1 Mg 0.000 0.000 0.000
Mn1 Mn 0.500 0.500 0.000
Cr1 Cr 0.000 0.500 0.500
```


## BaGa3Fe (GGA-PBEsol)

Data for a geometry-optimized BaGa3Fe structure.

Output
E_tot = -4.618 eV/atom
formation energy = -392 meV per atom
size of the total moment = 0.1 μB per formula unit

Cell and atoms, written as CIF:
```
data_BaGa3Fe
_cell_length_a 4.650
_cell_length_b 4.650
_cell_length_c 4.650
_cell_angle_alpha 90.00
_cell_angle_beta 90.00
_cell_angle_gamma 90.00
_symmetry_space_group_name_H-M 'P m -3 m'
_symmetry_Int_Tables_number 221
_symmetry_space_group_name_Hall '-P 4 2 3'
loop_
_atom_site_label
_atom_site_type_symbol
_atom_site_fract_x
_atom_site_fract_y
_atom_site_fract_z
Ba1 Ba 0.000 0.000 0.000
Ga1 Ga 0.000 0.500 0.500
Fe1 Fe 0.500 0.500 0.500
```


## LiTaZn2 (GGA-PBEsol)

Data for a geometry-optimized LiTaZn2 structure.

Output
E_tot = -4.373 eV/atom
formation energy = 47 meV per atom
size of the total moment = 0.0 μB per formula unit
energy above the most stable polymorph in this dataset = 118 meV/atom

Cell and atoms, written as CIF:
```
data_LiTaZn2
_cell_length_a 10.151
_cell_length_b 2.559
_cell_length_c 4.913
_cell_angle_alpha 90.00
_cell_angle_beta 106.82
_cell_angle_gamma 90.00
_symmetry_space_group_name_H-M 'C 1 m 1'
_symmetry_Int_Tables_number 8
loop_
_symmetry_equiv_pos_as_xyz
'x,y,z'
'x,-y,z'
'x+1/2,y+1/2,z'
'x+1/2,-y+1/2,z'
loop_
_atom_site_label
_atom_site_type_symbol
_atom_site_fract_x
_atom_site_fract_y
_atom_site_fract_z
Li1 Li 0.000 0.000 0.000
Ta1 Ta 0.207 0.000 0.606
Zn1 Zn 0.251 0.500 0.124
Zn2 Zn 0.460 0.000 0.492
```